Material: BeTl2Si
Method: DFT, PBE
State: relaxed

## Properties
Magnetic moment = 0.0 Bohr magnetons per cell
Formation energy without anion corrections = 3.09 eV per formula unit
E above lowest polymorph = 539 meV per atom
Total DFT energy (no corrections) = -0.0991 Ha/atom

Structure (CIF):
```
data_BeTl2Si
_chemical_formula_sum 'Be2 Tl4 Si2'
_cell_length_a 4.087
_cell_length_b 4.087
_cell_length_c 10.380
_cell_angle_alpha 90.00
_cell_angle_beta 90.00
_cell_angle_gamma 90.00
_space_group_name_H-M_alt 'I -4 m 2'
_space_group_IT_number 119
_space_group_name_Hall 'I -4 -2'
loop_
_atom_site_label
_atom_site_type_symbol
_atom_site_fract_x
_atom_site_fract_y
_atom_site_fract_z
Be1 Be 0.000 0.000 0.000
Tl1 Tl 0.000 0.000 0.500
Tl2 Tl 0.000 0.500 0.250
Si1 Si 0.000 0.500 0.750
```